DFT (GGA-PBE) results for crystalline KHoSO at its relaxed geometry.

The structure in POSCAR format:
```
KHoSO
1.0
-2.430 2.560 -6.651
-1.380 -6.830 -2.125
-5.212 -0.098 3.702
S O Ho K
4 4 4 4
Direct
0.749 0.591 0.655
0.749 0.909 0.155
0.251 0.091 0.845
0.251 0.409 0.345
0.392 0.647 0.877
0.608 0.147 0.623
0.392 0.853 0.377
0.608 0.353 0.123
0.526 0.873 0.730
0.474 0.373 0.770
0.474 0.127 0.270
0.526 0.627 0.230
0.083 0.746 0.011
0.083 0.754 0.511
0.917 0.246 0.489
0.917 0.254 0.989
```

Values from the calculation:
* magnetization: 0.00 μB/f.u.
* energy above the most stable polymorph in this dataset: 0.0 meV per atom